1.
Computed, not measured: a relaxed LiTlSiBr2 crystal at the PBE level of DFT.

Lattice parameters (Å, degrees): 8.8856 4.6285 7.8016 90.00 98.89 90.00
Fractional coordinates of all 10 atoms:
Li 0.3117 0.0000 0.5818
Li 0.3117 0.5000 0.0818
Tl 0.7422 0.0000 0.2775
Tl 0.7422 0.5000 0.7775
Si 0.7786 0.0000 0.6218
Si 0.7786 0.5000 0.1218
Br 0.0483 0.0000 0.7142
Br 0.0483 0.5000 0.2142
Br 0.3911 0.0000 0.2619
Br 0.3911 0.5000 0.7619

Calculated values
Total moment = 0.0 μB per formula unit
Distance to the lowest polymorph of the same formula = 0.004 eV per formula unit
SG = Cm
Final energy = -31.61 eV per cell
E_form (uncorrected) = -551 meV/atom

2.
Computed, not measured: a relaxed LiTlSiBr2 crystal at the PBE level of DFT.

Lattice parameters (Å, degrees): 4.6303 5.8098 7.2888 68.57 89.63 70.71
Fractional coordinates of all 5 atoms:
Li 0.9378 0.5250 0.3308
Tl 0.9555 0.4646 0.7974
Si 0.4037 0.5982 0.5415
Br 0.3675 0.7164 0.1693
Br 0.2868 0.0392 0.5458

Calculated values
Total moment = 0.0 μB per formula unit
Distance to the lowest polymorph of the same formula = 0.779 eV per formula unit
SG = P1
Final energy = -15.03 eV per cell
E_form (uncorrected) = -396 meV/atom

3.
Computed, not measured: a relaxed LiZr2SiBr crystal at the PBE level of DFT.

Lattice parameters (Å, degrees): 4.9720 5.1700 4.9720 90.00 90.00 90.00
Fractional coordinates of all 5 atoms:
Si 0.0000 0.5000 0.0000
Br 0.0000 0.0000 0.0000
Zr 0.0000 0.0000 0.5000
Zr 0.5000 0.0000 0.0000
Li 0.5000 0.5000 0.5000

Calculated values
Total moment = 0.0 μB per formula unit
SG = P4/mmm
Final energy = -22.37 eV per cell
E_form (uncorrected) = 748 meV/atom

4.
Computed, not measured: a relaxed Li3SmBr6 crystal at the PBE level of DFT.

Lattice parameters (Å, degrees): 4.5927 8.2617 8.2617 113.44 90.00 90.00
Fractional coordinates of all 10 atoms:
Li 0.5000 0.5000 0.0000
Li 0.0000 0.0000 0.0000
Li 0.5000 0.0000 0.5000
Sm 0.0000 0.5000 0.5000
Br 0.0000 0.0846 0.3341
Br 0.0000 0.9154 0.6659
Br 0.0000 0.3341 0.0846
Br 0.0000 0.6659 0.9154
Br 0.5000 0.6372 0.3628
Br 0.5000 0.3628 0.6372

Calculated values
Total moment = 0.0 μB per formula unit
Distance to the lowest polymorph of the same formula = 0.615 eV per formula unit
SG = Cmmm
Final energy = -35.86 eV per cell
E_form (uncorrected) = -1536 meV/atom